Record 1
A relaxed KHfO3 crystal, computed with PBE-GGA.

Summary:
Formation energy without anion corrections   339 meV/atom
Size of the total moment   1.06 μB per formula unit
Fermi-level density of states   0.46 states/eV per atom
Mass density   6.2 Mg/m³
Total energy   -4.846 eV/atom

a = 4.1387 Å, b = 4.1387 Å, c = 4.1387 Å
α = 90.00°, β = 90.00°, γ = 90.00°
With the nearest neighbours (Å) after each atom.
Atoms (fractional coordinates):
K 0.0000 0.0000 0.0000  6 O 2.07
O 0.5000 0.0000 0.0000  2 K 2.07
O 0.0000 0.0000 0.5000  2 K 2.07
O 0.0000 0.5000 0.0000  2 K 2.07
Hf 0.5000 0.5000 0.5000  12 O 2.93

***

Record 2
A relaxed KHfO3 crystal, computed with PBE-GGA.

Summary:
Formation energy without anion corrections   -2530 meV/atom
Size of the total moment   0.00 μB per formula unit
Fermi-level density of states   0.00 states/eV per atom
Mass density   5.9 Mg/m³
Total energy   -7.715 eV/atom

a = 6.0937 Å, b = 7.1154 Å, c = 3.9377 Å
α = 73.93°, β = 108.85°, γ = 110.62°
With the nearest neighbours (Å) after each atom.
Atoms (fractional coordinates):
O 0.0969 0.7871 0.3765  2 Hf 2.14
K 0.6908 0.3943 0.3698  7 O 2.72-3.01
O 0.5124 0.1169 0.9193  2 Hf 1.95-2.11
O 0.4707 0.7269 0.0935  2 Hf 2.02-2.12
O 0.9676 0.2896 0.0605  1 O 1.50
O 0.8630 0.9305 0.6879  3 Hf 2.05-2.19
O 0.1633 0.1847 0.2109  1 O 1.50
Hf 0.7927 0.9745 0.1307  6 O 2.05-2.20
Hf 0.2224 0.8835 0.8910  4 O 1.95-2.14
K 0.2801 0.4581 0.6325  7 O 2.66-2.75

***

Record 3
A relaxed KHfO3 crystal, computed with PBE-GGA.

Summary:
Formation energy without anion corrections   -2389 meV/atom
Size of the total moment   0.00 μB per formula unit
Fermi-level density of states   0.00 states/eV per atom
Mass density   5.2 Mg/m³
Total energy   -7.574 eV/atom

a = 20.9625 Å, b = 7.9794 Å, c = 7.9794 Å
α = 155.31°, β = 158.66°, γ = 21.34°
With the nearest neighbours (Å) after each atom.
Atoms (fractional coordinates):
K 0.7927 0.0801 0.9199  3 O 2.52-2.56
O 0.9223 0.7581 0.2419  1 Hf 1.86
O 0.8809 0.1552 0.8448  1 O 1.51
K 0.2073 0.9199 0.0801  3 O 2.52-2.56
O 0.4757 0.3437 0.6563  3 Hf 2.14-2.16, 1 O 2.36
O 0.0777 0.2419 0.7581  1 Hf 1.86
Hf 0.2836 0.0631 0.9369  1 O 1.86
Hf 0.7164 0.9369 0.0631  1 O 1.86
O 0.5243 0.6563 0.3437  3 Hf 2.14-2.16, 1 O 2.36
O 0.1191 0.8448 0.1552  1 O 1.51

***

Record 4
A relaxed K3HfO crystal, computed with PBE-GGA.

Summary:
Formation energy without anion corrections   430 meV/atom
Size of the total moment   3.00 μB per formula unit
Fermi-level density of states   1.79 states/eV per atom
Mass density   3.1 Mg/m³
Total energy   -3.211 eV/atom
Offset from the most stable computed form   0 meV per atom

a = 5.5170 Å, b = 5.5170 Å, c = 5.5170 Å
α = 90.00°, β = 90.00°, γ = 90.00°
With the nearest neighbours (Å) after each atom.
Atoms (fractional coordinates):
Hf 0.5000 0.5000 0.5000  12 K 3.90
K 0.5000 0.0000 0.0000  2 O 2.76
O 0.0000 0.0000 0.0000  6 K 2.76
K 0.0000 0.5000 0.0000  2 O 2.76
K 0.0000 0.0000 0.5000  2 O 2.76

***

Record 5
A relaxed KHfO3 crystal, computed with PBE-GGA.

Summary:
Formation energy without anion corrections   -2431 meV/atom
Size of the total moment   1.00 μB per formula unit
Fermi-level density of states   0.25 states/eV per atom
Mass density   6.1 Mg/m³
Total energy   -7.616 eV/atom

a = 3.3768 Å, b = 5.5108 Å, c = 7.8248 Å
α = 90.00°, β = 90.06°, γ = 90.00°
With the nearest neighbours (Å) after each atom.
Atoms (fractional coordinates):
K 0.2484 0.2500 0.3728  8 O 2.75-2.96
O 0.7491 0.2500 0.6502  1 Hf 2.09
O 0.7503 0.5094 0.1223  3 Hf 2.15-2.17
K 0.7516 0.7500 0.6272  8 O 2.75-2.96
O 0.2497 0.0094 0.8777  3 Hf 2.15-2.17
O 0.2497 0.4906 0.8777  3 Hf 2.15-2.17
O 0.7503 0.9906 0.1223  3 Hf 2.15-2.17
Hf 0.2503 0.7500 0.0831  7 O 2.09-2.17
Hf 0.7497 0.2500 0.9169  7 O 2.09-2.17
O 0.2509 0.7500 0.3498  1 Hf 2.09

***

Record 6
A relaxed K6HfO4 crystal, computed with PBE-GGA.

Summary:
Formation energy without anion corrections   -1612 meV/atom
Size of the total moment   0.00 μB per formula unit
Fermi-level density of states   0.17 states/eV per atom
Mass density   1.9 Mg/m³
Total energy   -4.919 eV/atom

a = 6.2565 Å, b = 12.5126 Å, c = 12.5082 Å
α = 120.06°, β = 90.00°, γ = 90.00°
With the nearest neighbours (Å) after each atom.
Atoms (fractional coordinates):
O 0.2797 0.5020 0.2508  1 Hf 1.97
Hf 0.1456 0.6667 0.3332  4 O 1.97-1.98
K 0.6464 0.1455 0.8545  1 O 2.43
K 0.5797 0.8582 0.4291  3 O 2.60-2.70
K 0.1464 0.8546 0.7091  1 O 2.43
O 0.2797 0.7491 0.4979  1 Hf 1.97
K 0.5797 0.5708 0.1417  3 O 2.60-2.70
Hf 0.6456 0.3333 0.6668  4 O 1.97-1.98
K 0.0796 0.4290 0.5711  3 O 2.60-2.70
K 0.1464 0.8545 0.1455  1 O 2.43
K 0.6464 0.1454 0.2909  1 O 2.43
O 0.8294 0.6667 0.3332  1 Hf 1.98
K 0.5796 0.5710 0.4289  3 O 2.60-2.70
O 0.7797 0.4980 0.7492  1 Hf 1.97
O 0.7797 0.2509 0.5021  1 Hf 1.97
K 0.6464 0.7091 0.8546  1 O 2.43
K 0.0797 0.4292 0.8583  3 O 2.60-2.70
K 0.0797 0.1418 0.5709  3 O 2.60-2.70
K 0.1464 0.2909 0.1454  1 O 2.43
O 0.7797 0.2511 0.7491  1 Hf 1.97
O 0.2797 0.7489 0.2509  1 Hf 1.97
O 0.3294 0.3333 0.6668  1 Hf 1.98

***

> The highest size of the total moment belongs to which entry?

K3HfO

***

> What is the Fermi-level density of states in the sixth record?

0.17 states/eV per atom

***

> What is the Fermi-level density of states in the sixth record?

0.17 states/eV per atom

***

> The highest formation energy without anion corrections belongs to which entry?

K3HfO